Crystalline TbPr6Nd2 at its relaxed geometry, computed with PBE-GGA.

polymorph energy (0 for the lowest one) = 0.000 eV per atom
energy of formation from the pure elements = 0.0758 eV per atom
total energy = -84.32 eV/cell
ρ = 6.75 g cm⁻³

The structure in POSCAR format:
```
TbPr6Nd2
1.0
6.210 -0.084 -0.082
1.239 10.290 1.610
1.239 1.942 10.232
Pr Nd Tb
12 4 2
direct
0.711 0.214 0.994 Pr
0.876 0.660 0.883 Pr
0.624 0.117 0.340 Pr
0.289 0.786 0.006 Pr
0.211 0.994 0.214 Pr
0.789 0.006 0.786 Pr
0.124 0.340 0.117 Pr
0.958 0.450 0.674 Pr
0.376 0.883 0.660 Pr
0.542 0.326 0.550 Pr
0.458 0.674 0.450 Pr
0.042 0.550 0.326 Pr
0.583 0.485 0.184 Nd
0.917 0.816 0.515 Nd
0.417 0.515 0.816 Nd
0.083 0.184 0.485 Nd
0.750 0.854 0.146 Tb
0.250 0.146 0.854 Tb
```

---

Crystalline Tb2Pr6Nd3 at its relaxed geometry, computed with PBE-GGA.

polymorph energy (0 for the lowest one) = 0.000 eV per atom
energy of formation from the pure elements = 0.0118 eV per atom
total energy = -52.11 eV/cell
ρ = 6.85 g cm⁻³

The structure in POSCAR format:
```
Tb2Pr6Nd3
1.0
-2.463 -2.718 0.262
1.024 -3.292 1.278
-7.839 7.634 31.248
Tb Pr Nd
2 6 3
direct
0.545 0.545 0.364 Tb
0.455 0.455 0.636 Tb
0.818 0.818 0.547 Pr
0.908 0.908 0.275 Pr
0.092 0.092 0.725 Pr
0.364 0.364 0.908 Pr
0.182 0.182 0.453 Pr
0.636 0.636 0.092 Pr
0.000 0.000 0.000 Nd
0.728 0.728 0.817 Nd
0.272 0.272 0.183 Nd
```

---

Crystalline Tb6PrNd4 at its relaxed geometry, computed with PBE-GGA.

polymorph energy (0 for the lowest one) = 0.154 eV per atom
energy of formation from the pure elements = 0.3046 eV per atom
total energy = -48.28 eV/cell
ρ = 7.20 g cm⁻³

The structure in POSCAR format:
```
Tb6PrNd4
1.0
-3.269 -1.553 -9.067
-2.350 -2.135 9.232
-0.275 6.857 6.943
Tb Nd Pr
6 4 1
direct
0.355 0.553 0.553 Tb
0.645 0.198 0.198 Tb
0.000 0.447 0.802 Tb
0.500 0.500 0.000 Tb
0.500 0.000 0.500 Tb
0.000 0.802 0.447 Tb
0.381 0.367 0.367 Nd
0.619 0.986 0.986 Nd
0.000 0.014 0.633 Nd
0.000 0.633 0.014 Nd
0.000 0.000 0.000 Pr
```

---

Crystalline Tb8PrNd3 at its relaxed geometry, computed with PBE-GGA.

energy of formation from the pure elements = 0.6048 eV per atom
total energy = -48.87 eV/cell
ρ = 7.00 g cm⁻³

The structure in POSCAR format:
```
Tb8PrNd3
1.0
7.606 -0.450 -3.586
-4.436 7.051 -1.232
-0.283 0.450 8.404
Nd Tb Pr
3 8 1
direct
0.000 0.500 0.500 Nd
0.500 0.250 0.750 Nd
0.500 0.750 0.250 Nd
0.000 0.249 0.747 Tb
0.502 0.253 0.253 Tb
0.498 0.751 0.751 Tb
0.750 0.126 0.126 Tb
0.000 0.624 0.874 Tb
0.000 0.747 0.249 Tb
0.250 0.376 0.376 Tb
0.000 0.874 0.624 Tb
0.000 0.000 0.000 Pr
```

---

Crystalline Tb15Pr2Nd2 at its relaxed geometry, computed with PBE-GGA.

energy of formation from the pure elements = 0.2754 eV per atom
total energy = -83.32 eV/cell
ρ = 7.55 g cm⁻³

The structure in POSCAR format:
```
Tb15Pr2Nd2
1.0
-0.815 4.592 -7.446
-8.686 -0.527 -1.210
-2.496 7.778 3.234
Tb Pr Nd
15 2 2
direct
0.849 0.371 0.371 Tb
0.300 0.000 0.700 Tb
0.000 0.300 0.700 Tb
0.300 0.700 0.000 Tb
0.500 0.000 0.000 Tb
0.000 0.000 0.500 Tb
0.371 0.371 0.849 Tb
0.629 0.629 0.151 Tb
0.629 0.151 0.629 Tb
0.700 0.000 0.300 Tb
0.371 0.849 0.371 Tb
0.000 0.500 0.000 Tb
0.151 0.629 0.629 Tb
0.000 0.700 0.300 Tb
0.700 0.300 0.000 Tb
0.907 0.907 0.907 Pr
0.093 0.093 0.093 Pr
0.673 0.673 0.673 Nd
0.327 0.327 0.327 Nd
```

---

Crystalline TbPrNd at its relaxed geometry, computed with PBE-GGA.

polymorph energy (0 for the lowest one) = 0.040 eV per atom
energy of formation from the pure elements = 0.0596 eV per atom
total energy = -14.00 eV/cell
ρ = 7.16 g cm⁻³

The structure in POSCAR format:
```
TbPrNd
1.0
3.554 0.000 0.000
0.000 5.784 0.000
0.000 -2.892 5.009
Tb Nd Pr
1 1 1
direct
0.165 0.333 0.667 Tb
0.168 0.000 0.000 Nd
0.667 0.667 0.333 Pr
```

---

Crystalline Tb4Pr5Nd3 at its relaxed geometry, computed with PBE-GGA.

polymorph energy (0 for the lowest one) = 0.194 eV per atom
energy of formation from the pure elements = 0.2081 eV per atom
total energy = -54.22 eV/cell
ρ = 6.97 g cm⁻³

The structure in POSCAR format:
```
Tb4Pr5Nd3
1.0
-4.443 -1.437 3.883
-5.908 -5.140 -3.914
3.952 -5.379 7.281
Tb Nd Pr
4 3 5
direct
0.836 0.951 0.378 Tb
0.860 0.222 0.058 Tb
0.140 0.778 0.942 Tb
0.164 0.049 0.622 Tb
0.000 0.500 0.500 Nd
0.481 0.311 0.727 Nd
0.519 0.689 0.273 Nd
0.623 0.953 0.801 Pr
0.788 0.538 0.885 Pr
0.212 0.462 0.115 Pr
0.500 0.500 0.500 Pr
0.377 0.047 0.199 Pr
```

---

Crystalline Tb4PrNd8 at its relaxed geometry, computed with PBE-GGA.

energy of formation from the pure elements = 0.1732 eV per atom
total energy = -59.19 eV/cell
ρ = 7.10 g cm⁻³

The structure in POSCAR format:
```
Tb4PrNd8
1.0
6.531 0.000 -3.524
-4.216 6.107 0.000
1.325 0.916 10.272
Pr Nd Tb
1 8 4
direct
0.000 0.500 0.500 Pr
0.049 0.800 0.298 Nd
0.497 0.249 0.298 Nd
0.568 0.784 0.351 Nd
0.432 0.216 0.649 Nd
0.951 0.751 0.702 Nd
0.503 0.751 0.702 Nd
0.049 0.249 0.298 Nd
0.951 0.200 0.702 Nd
0.500 0.500 0.000 Tb
0.000 0.000 0.000 Tb
0.500 0.000 0.000 Tb
0.000 0.500 0.000 Tb
```

---

| no. | calculated volume (Å³ per cell) |
| --- | --- |
| 1 | 636.12 |
| 2 | 386.84 |
| 3 | 385.45 |
| 4 | 437.95 |
| 5 | 649.44 |
| 6 | 102.95 |
| 7 | 422.51 |
| 8 | 451.83 |